Entry from Alexandria: CaYRe after structural relaxation (PBE-GGA).

Energy above the most stable polymorph in this dataset in eV/f.u.: 0.00
Energy in eV/atom: -6.494
ΔH_f (0 K) in meV per atom: 478

abc: 3.464 3.464 13.264
angles: 90.00 90.00 90.00
Space group I4mm (No. 107)
Inequivalent atoms, fractional coordinates:
Ca  0.000  0.000  0.000
Y  0.000  0.000  0.744
Re  0.000  0.000  0.361